(1)
Density functional theory data (GGA-PBE) for crystalline LiHoSc2Cd4 at its relaxed geometry.

Summary:
- Formation energy from the elements: -0.2541 eV/atom
- Magnetization: 0.0 μB per cell
- Calculated total energy: -3.1060 eV per atom
- Fermi-level density of states: 7.51 states/eV per cell

Cell lengths 8.7727, 8.7727, 8.7727 Å; angles 33.19, 33.19, 33.19 degrees
Element x y z (fractional)
Li 0.0000 0.0000 0.0000
Ho 0.5000 0.5000 0.5000
Sc 0.2509 0.2509 0.2509
Sc 0.7491 0.7491 0.7491
Cd 0.1170 0.1170 0.1170
Cd 0.3723 0.3723 0.3723
Cd 0.6277 0.6277 0.6277
Cd 0.8830 0.8830 0.8830

(2)
Density functional theory data (GGA-PBE) for crystalline Li2Sm2HoCd5 at its relaxed geometry.

Summary:
- Formation energy from the elements: -0.2819 eV/atom
- Magnetization: 0.0 μB per cell
- Calculated total energy: -2.5238 eV per atom
- Fermi-level density of states: 14.16 states/eV per cell

Cell lengths 10.6362, 10.6362, 4.1260 Å; angles 90.00, 90.00, 90.00 degrees
Element x y z (fractional)
Li 0.1150 0.3850 0.0000
Li 0.3850 0.8850 0.0000
Li 0.6150 0.1150 0.0000
Li 0.8850 0.6150 0.0000
Sm 0.1800 0.6800 0.0000
Sm 0.3200 0.1800 0.0000
Sm 0.6800 0.8200 0.0000
Sm 0.8200 0.3200 0.0000
Ho 0.0000 0.0000 0.0000
Ho 0.5000 0.5000 0.0000
Cd 0.0000 0.5000 0.5000
Cd 0.0600 0.2153 0.5000
Cd 0.2153 0.9400 0.5000
Cd 0.2847 0.4400 0.5000
Cd 0.4400 0.7153 0.5000
Cd 0.5000 0.0000 0.5000
Cd 0.5600 0.2847 0.5000
Cd 0.7153 0.5600 0.5000
Cd 0.7847 0.0600 0.5000
Cd 0.9400 0.7847 0.5000

(3)
Density functional theory data (GGA-PBE) for crystalline Li2HoCd2Sn2 at its relaxed geometry.

Summary:
- Formation energy from the elements: -0.3899 eV/atom
- Magnetization: 0.0 μB per cell
- Calculated total energy: -2.9958 eV per atom
- Fermi-level density of states: 2.08 states/eV per cell

Cell lengths 8.6699, 8.6699, 8.6699 Å; angles 31.32, 31.32, 31.32 degrees
Element x y z (fractional)
Li 0.1430 0.1430 0.1430
Li 0.8570 0.8570 0.8570
Ho 0.0000 0.0000 0.0000
Cd 0.4408 0.4408 0.4408
Cd 0.5592 0.5592 0.5592
Sn 0.2665 0.2665 0.2665
Sn 0.7335 0.7335 0.7335

(4)
Density functional theory data (GGA-PBE) for crystalline Li2Tb2HoCd5 at its relaxed geometry.

Summary:
- Formation energy from the elements: -0.2686 eV/atom
- Magnetization: 0.0 μB per cell
- Calculated total energy: -2.4928 eV per atom
- Fermi-level density of states: 12.12 states/eV per cell

Cell lengths 10.4803, 10.4803, 4.1553 Å; angles 90.00, 90.00, 90.00 degrees
Element x y z (fractional)
Li 0.1149 0.3851 0.0000
Li 0.3851 0.8851 0.0000
Li 0.6149 0.1149 0.0000
Li 0.8851 0.6149 0.0000
Tb 0.1794 0.6794 0.0000
Tb 0.3206 0.1794 0.0000
Tb 0.6794 0.8206 0.0000
Tb 0.8206 0.3206 0.0000
Ho 0.0000 0.0000 0.0000
Ho 0.5000 0.5000 0.0000
Cd 0.0000 0.5000 0.5000
Cd 0.0611 0.2158 0.5000
Cd 0.2158 0.9389 0.5000
Cd 0.2842 0.4389 0.5000
Cd 0.4389 0.7158 0.5000
Cd 0.5000 0.0000 0.5000
Cd 0.5611 0.2842 0.5000
Cd 0.7158 0.5611 0.5000
Cd 0.7842 0.0611 0.5000
Cd 0.9389 0.7842 0.5000

(5)
Density functional theory data (GGA-PBE) for crystalline LiTb2HoCd4 at its relaxed geometry.

Summary:
- Formation energy from the elements: -0.2852 eV/atom
- Magnetization: 0.0 μB per cell
- Calculated total energy: -2.7118 eV per atom
- Fermi-level density of states: 8.01 states/eV per cell

Cell lengths 9.0078, 9.0078, 9.0078 Å; angles 33.60, 33.60, 33.60 degrees
Element x y z (fractional)
Li 0.0000 0.0000 0.0000
Tb 0.2510 0.2510 0.2510
Tb 0.7490 0.7490 0.7490
Ho 0.5000 0.5000 0.5000
Cd 0.1214 0.1214 0.1214
Cd 0.3736 0.3736 0.3736
Cd 0.6264 0.6264 0.6264
Cd 0.8786 0.8786 0.8786

(6)
Density functional theory data (GGA-PBE) for crystalline LiTbHo2Cd4 at its relaxed geometry.

Summary:
- Formation energy from the elements: -0.2753 eV/atom
- Magnetization: 0.0 μB per cell
- Calculated total energy: -2.6953 eV per atom
- Fermi-level density of states: 8.11 states/eV per cell

Cell lengths 9.0203, 9.0203, 9.0203 Å; angles 33.41, 33.41, 33.41 degrees
Element x y z (fractional)
Li 0.0000 0.0000 0.0000
Tb 0.5000 0.5000 0.5000
Ho 0.2515 0.2515 0.2515
Ho 0.7485 0.7485 0.7485
Cd 0.1198 0.1198 0.1198
Cd 0.3733 0.3733 0.3733
Cd 0.6267 0.6267 0.6267
Cd 0.8802 0.8802 0.8802

(7)
Density functional theory data (GGA-PBE) for crystalline LiHoThCd at its relaxed geometry.

Summary:
- Formation energy from the elements: 0.0210 eV/atom
- Magnetization: 0.0 μB per cell
- Calculated total energy: -3.6857 eV per atom
- Fermi-level density of states: 5.61 states/eV per cell

Cell lengths 5.3079, 5.3079, 5.3079 Å; angles 60.00, 60.00, 60.00 degrees
Element x y z (fractional)
Li 0.0000 0.0000 0.0000
Ho 0.2500 0.2500 0.2500
Th 0.7500 0.7500 0.7500
Cd 0.5000 0.5000 0.5000

(8)
Density functional theory data (GGA-PBE) for crystalline Li2HoTl2Cd2 at its relaxed geometry.

Summary:
- Formation energy from the elements: -0.2228 eV/atom
- Magnetization: 0.0 μB per cell
- Calculated total energy: -2.3611 eV per atom
- Fermi-level density of states: 2.47 states/eV per cell

Cell lengths 8.1133, 8.1133, 8.1133 Å; angles 35.19, 35.19, 35.19 degrees
Element x y z (fractional)
Li 0.1438 0.1438 0.1438
Li 0.8562 0.8562 0.8562
Ho 0.0000 0.0000 0.0000
Tl 0.2723 0.2723 0.2723
Tl 0.7277 0.7277 0.7277
Cd 0.4339 0.4339 0.4339
Cd 0.5661 0.5661 0.5661

(9)
Density functional theory data (GGA-PBE) for crystalline LiHo2TmCd4 at its relaxed geometry.

Summary:
- Formation energy from the elements: -0.2825 eV/atom
- Magnetization: 0.0 μB per cell
- Calculated total energy: -2.6826 eV per atom
- Fermi-level density of states: 6.88 states/eV per cell

Cell lengths 8.9464, 8.9464, 8.9464 Å; angles 33.58, 33.58, 33.58 degrees
Element x y z (fractional)
Li 0.0000 0.0000 0.0000
Ho 0.2508 0.2508 0.2508
Ho 0.7492 0.7492 0.7492
Tm 0.5000 0.5000 0.5000
Cd 0.1215 0.1215 0.1215
Cd 0.3734 0.3734 0.3734
Cd 0.6266 0.6266 0.6266
Cd 0.8785 0.8785 0.8785

(10)
Density functional theory data (GGA-PBE) for crystalline LiHoTm2Cd4 at its relaxed geometry.

Summary:
- Formation energy from the elements: -0.2716 eV/atom
- Magnetization: 0.0 μB per cell
- Calculated total energy: -2.6585 eV per atom
- Fermi-level density of states: 7.15 states/eV per cell

Cell lengths 8.9518, 8.9518, 8.9518 Å; angles 33.44, 33.44, 33.44 degrees
Element x y z (fractional)
Li 0.0000 0.0000 0.0000
Ho 0.5000 0.5000 0.5000
Tm 0.2511 0.2511 0.2511
Tm 0.7489 0.7489 0.7489
Cd 0.1204 0.1204 0.1204
Cd 0.3732 0.3732 0.3732
Cd 0.6268 0.6268 0.6268
Cd 0.8796 0.8796 0.8796

(11)
Density functional theory data (GGA-PBE) for crystalline LiYHoCd at its relaxed geometry.

Summary:
- Formation energy from the elements: -0.1279 eV/atom
- Magnetization: 0.0 μB per cell
- Calculated total energy: -3.5956 eV per atom
- Fermi-level density of states: 5.53 states/eV per cell

Cell lengths 5.2551, 5.2551, 5.2551 Å; angles 60.00, 60.00, 60.00 degrees
Element x y z (fractional)
Li 0.0000 0.0000 0.0000
Y 0.7500 0.7500 0.7500
Ho 0.2500 0.2500 0.2500
Cd 0.5000 0.5000 0.5000

(12)
Density functional theory data (GGA-PBE) for crystalline Li2YHoCd4 at its relaxed geometry.

Summary:
- Formation energy from the elements: -0.2631 eV/atom
- Magnetization: 0.0 μB per cell
- Calculated total energy: -2.5794 eV per atom
- Fermi-level density of states: 5.51 states/eV per cell

Cell lengths 8.7322, 8.7322, 8.7322 Å; angles 33.59, 33.59, 33.59 degrees
Element x y z (fractional)
Li 0.2500 0.2500 0.2500
Li 0.7500 0.7500 0.7500
Y 0.0000 0.0000 0.0000
Ho 0.5000 0.5000 0.5000
Cd 0.1255 0.1255 0.1255
Cd 0.3756 0.3756 0.3756
Cd 0.6244 0.6244 0.6244
Cd 0.8745 0.8745 0.8745

(13)
Density functional theory data (GGA-PBE) for crystalline LiYHo2Cd4 at its relaxed geometry.

Summary:
- Formation energy from the elements: -0.2861 eV/atom
- Magnetization: 0.0 μB per cell
- Calculated total energy: -2.9354 eV per atom
- Fermi-level density of states: 7.53 states/eV per cell

Cell lengths 9.0071, 9.0071, 9.0071 Å; angles 33.45, 33.45, 33.45 degrees
Element x y z (fractional)
Li 0.0000 0.0000 0.0000
Y 0.5000 0.5000 0.5000
Ho 0.2515 0.2515 0.2515
Ho 0.7485 0.7485 0.7485
Cd 0.1206 0.1206 0.1206
Cd 0.3733 0.3733 0.3733
Cd 0.6267 0.6267 0.6267
Cd 0.8794 0.8794 0.8794

(14)
Density functional theory data (GGA-PBE) for crystalline Ho2LuCd at its relaxed geometry.

Summary:
- Formation energy from the elements: -0.0305 eV/atom
- Magnetization: 0.0 μB per cell
- Calculated total energy: -3.6784 eV per atom
- Fermi-level density of states: 4.70 states/eV per cell

Cell lengths 5.3886, 5.3886, 5.3886 Å; angles 60.00, 60.00, 60.00 degrees
Element x y z (fractional)
Ho 0.2500 0.2500 0.2500
Ho 0.7500 0.7500 0.7500
Lu 0.0000 0.0000 0.0000
Cd 0.5000 0.5000 0.5000

(15)
Density functional theory data (GGA-PBE) for crystalline Ho2LuCd at its relaxed geometry.

Summary:
- Formation energy from the elements: -0.0594 eV/atom
- Magnetization: 0.0 μB per cell
- Calculated total energy: -3.7073 eV per atom
- Fermi-level density of states: 5.10 states/eV per cell

Cell lengths 10.9094, 10.9094, 10.9094 Å; angles 18.60, 18.60, 18.60 degrees
Element x y z (fractional)
Ho 0.2457 0.2457 0.2457
Ho 0.7543 0.7543 0.7543
Lu 0.0000 0.0000 0.0000
Cd 0.5000 0.5000 0.5000

(16)
Density functional theory data (GGA-PBE) for crystalline Ho2LuCd at its relaxed geometry.

Summary:
- Formation energy from the elements: -0.1368 eV/atom
- Magnetization: 0.0 μB per cell
- Calculated total energy: -3.7847 eV per atom
- Fermi-level density of states: 5.25 states/eV per cell

Cell lengths 3.5439, 3.5439, 8.9898 Å; angles 90.00, 90.00, 90.00 degrees
Element x y z (fractional)
Ho 0.0000 0.0000 0.2320
Ho 0.0000 0.0000 0.7680
Lu 0.5000 0.5000 0.5000
Cd 0.5000 0.5000 0.0000

(17)
Density functional theory data (GGA-PBE) for crystalline Ho2LuCd at its relaxed geometry.

Summary:
- Formation energy from the elements: -0.0607 eV/atom
- Magnetization: 0.0 μB per cell
- Calculated total energy: -3.7086 eV per atom
- Fermi-level density of states: 5.11 states/eV per cell

Cell lengths 5.2995, 5.2995, 3.9714 Å; angles 90.00, 90.00, 90.00 degrees
Element x y z (fractional)
Ho 0.0000 0.5000 0.0000
Ho 0.5000 0.0000 0.0000
Lu 0.0000 0.0000 0.5000
Cd 0.5000 0.5000 0.5000

(18)
Density functional theory data (GGA-PBE) for crystalline HoLuCd at its relaxed geometry.

Summary:
- Formation energy from the elements: -0.0691 eV/atom
- Magnetization: 0.0 μB per cell
- Calculated total energy: -3.4071 eV per atom
- Fermi-level density of states: 3.32 states/eV per cell

Cell lengths 5.2079, 5.2079, 3.4820 Å; angles 90.00, 90.00, 120.00 degrees
Element x y z (fractional)
Ho 0.0000 0.0000 0.0000
Lu 0.3333 0.6667 0.5517
Cd 0.6667 0.3333 0.3205

(19)
Density functional theory data (GGA-PBE) for crystalline HoLuCd at its relaxed geometry.

Summary:
- Formation energy from the elements: -0.1851 eV/atom
- Magnetization: 1.0 μB per cell
- Calculated total energy: -3.5230 eV per atom
- Fermi-level density of states: 3.37 states/eV per cell

Cell lengths 6.9901, 6.9901, 6.9901 Å; angles 150.70, 150.70, 41.92 degrees
Element x y z (fractional)
Ho 0.0000 0.0000 0.0000
Lu 0.6853 0.6853 0.0000
Cd 0.3394 0.3394 0.0000

(20)
Density functional theory data (GGA-PBE) for crystalline HoLuCd4 at its relaxed geometry.

Summary:
- Formation energy from the elements: -0.2154 eV/atom
- Magnetization: 0.0 μB per cell
- Calculated total energy: -2.3419 eV per atom
- Fermi-level density of states: 5.25 states/eV per cell

Cell lengths 5.8692, 5.8692, 5.8692 Å; angles 60.00, 60.00, 60.00 degrees
Element x y z (fractional)
Ho 0.0000 0.0000 0.0000
Lu 0.7500 0.7500 0.7500
Cd 0.3749 0.3749 0.3749
Cd 0.3749 0.3749 0.8752
Cd 0.3749 0.8752 0.3749
Cd 0.8752 0.3749 0.3749

(21)
Density functional theory data (GGA-PBE) for crystalline NdHoLuCd at its relaxed geometry.

Summary:
- Formation energy from the elements: -0.0437 eV/atom
- Magnetization: 0.0 μB per cell
- Calculated total energy: -3.7392 eV per atom
- Fermi-level density of states: 4.71 states/eV per cell

Cell lengths 5.4627, 5.4627, 5.4627 Å; angles 60.00, 60.00, 60.00 degrees
Element x y z (fractional)
Nd 0.0000 0.0000 0.0000
Ho 0.5000 0.5000 0.5000
Lu 0.7500 0.7500 0.7500
Cd 0.2500 0.2500 0.2500

(22)
Density functional theory data (GGA-PBE) for crystalline HoLuCdPb at its relaxed geometry.

Summary:
- Formation energy from the elements: -0.3227 eV/atom
- Magnetization: 0.0 μB per cell
- Calculated total energy: -3.7532 eV per atom
- Fermi-level density of states: 3.84 states/eV per cell

Cell lengths 5.2872, 5.2872, 5.2872 Å; angles 60.00, 60.00, 60.00 degrees
Element x y z (fractional)
Ho 0.0000 0.0000 0.0000
Lu 0.5000 0.5000 0.5000
Cd 0.2500 0.2500 0.2500
Pb 0.7500 0.7500 0.7500

(23)
Density functional theory data (GGA-PBE) for crystalline PmHoLuCd at its relaxed geometry.

Summary:
- Formation energy from the elements: -0.0438 eV/atom
- Magnetization: 0.0 μB per cell
- Calculated total energy: -3.7349 eV per atom
- Fermi-level density of states: 4.73 states/eV per cell

Cell lengths 5.4461, 5.4461, 5.4461 Å; angles 60.00, 60.00, 60.00 degrees
Element x y z (fractional)
Pm 0.0000 0.0000 0.0000
Ho 0.5000 0.5000 0.5000
Lu 0.2500 0.2500 0.2500
Cd 0.7500 0.7500 0.7500

(24)
Density functional theory data (GGA-PBE) for crystalline HoLuCdRh at its relaxed geometry.

Summary:
- Formation energy from the elements: -0.5587 eV/atom
- Magnetization: 0.0 μB per cell
- Calculated total energy: -4.9000 eV per atom
- Fermi-level density of states: 2.40 states/eV per cell

Cell lengths 4.9908, 4.9908, 4.9908 Å; angles 60.00, 60.00, 60.00 degrees
Element x y z (fractional)
Ho 0.0000 0.0000 0.0000
Lu 0.5000 0.5000 0.5000
Cd 0.7500 0.7500 0.7500
Rh 0.2500 0.2500 0.2500

(25)
Density functional theory data (GGA-PBE) for crystalline HoLuCdRu at its relaxed geometry.

Summary:
- Formation energy from the elements: -0.3263 eV/atom
- Magnetization: 0.0 μB per cell
- Calculated total energy: -5.1487 eV per atom
- Fermi-level density of states: 3.94 states/eV per cell

Cell lengths 4.9695, 4.9695, 4.9695 Å; angles 60.00, 60.00, 60.00 degrees
Element x y z (fractional)
Ho 0.0000 0.0000 0.0000
Lu 0.5000 0.5000 0.5000
Cd 0.7500 0.7500 0.7500
Ru 0.2500 0.2500 0.2500

(26)
Density functional theory data (GGA-PBE) for crystalline HoLuScCd at its relaxed geometry.

Summary:
- Formation energy from the elements: -0.0300 eV/atom
- Magnetization: 0.0 μB per cell
- Calculated total energy: -4.1164 eV per atom
- Fermi-level density of states: 5.26 states/eV per cell

Cell lengths 5.2877, 5.2877, 5.2877 Å; angles 60.00, 60.00, 60.00 degrees
Element x y z (fractional)
Ho 0.0000 0.0000 0.0000
Lu 0.5000 0.5000 0.5000
Sc 0.7500 0.7500 0.7500
Cd 0.2500 0.2500 0.2500

(27)
Density functional theory data (GGA-PBE) for crystalline SmHoLuCd at its relaxed geometry.

Summary:
- Formation energy from the elements: -0.0418 eV/atom
- Magnetization: 0.0 μB per cell
- Calculated total energy: -3.7250 eV per atom
- Fermi-level density of states: 4.74 states/eV per cell

Cell lengths 5.4372, 5.4372, 5.4372 Å; angles 60.00, 60.00, 60.00 degrees
Element x y z (fractional)
Sm 0.0000 0.0000 0.0000
Ho 0.5000 0.5000 0.5000
Lu 0.7500 0.7500 0.7500
Cd 0.2500 0.2500 0.2500